# 1
VASP calculation (GGA-PBEsol) on a relaxed Fe2SbW crystal.

Results
**Crystal system**: trigonal
**ΔE_f (raw)**: 1.8 eV per formula unit
**Polymorph energy (0 for the lowest one)**: 0.53 eV per formula unit
**Electronic total energy**: -8.622 eV per atom

abc: 2.9858 2.9858 23.0131
angles: 90.00 90.00 120.00
Space group R-3m (No. 166, hexagonal axes)
Asymmetric unit:
Fe (0.0000, 0.0000, 0.2432)
Sb (0.0000, 0.0000, 0.0000)
W (0.0000, 0.0000, 0.5000)

=====

# 2
VASP calculation (GGA-PBEsol) on a relaxed FeSb2W crystal.

Results
**Crystal system**: monoclinic
**ΔE_f (raw)**: 2.4 eV per formula unit
**Polymorph energy (0 for the lowest one)**: 1.54 eV per formula unit
**Electronic total energy**: -7.362 eV per atom

abc: 8.487 3.137 5.417
angles: 90.00 104.08 90.00
Space group C2/m (No. 12)
Asymmetric unit:
Fe (0.000, 0.000, 0.000)
Sb (0.243, 0.500, 0.243)
W (0.000, 0.500, 0.500)

=====

# 3
VASP calculation (GGA-PBEsol) on a relaxed FeSbW2 crystal.

Results
**Crystal system**: monoclinic
**ΔE_f (raw)**: 2.0 eV per formula unit
**Polymorph energy (0 for the lowest one)**: 0.47 eV per formula unit
**Electronic total energy**: -9.792 eV per atom

abc: 2.860 4.173 5.296
angles: 90.00 101.13 90.00
Space group Pm (No. 6)
Asymmetric unit:
Fe (0.000, 0.000, 0.000)
Sb (0.035, 0.500, 0.271)
W (0.365, 0.500, 0.800)
W (0.625, 0.000, 0.538)